w | Ac3ZnSn2 | PBE-GGA | optimized geometry

Computed properties:
Calculated density ... 7.93 g/cm3

a = 13.2238 Å, b = 4.7649 Å, c = 13.0840 Å
α = 90.00°, β = 90.00°, γ = 90.00°
Closest atoms and distances in Å follow each position.
Atoms (fractional coordinates):
Ac 0.0577 0.2500 0.1198  1 Zn 3.24, 4 Sn 3.41-3.53
Ac 0.1218 0.7500 0.5597  5 Sn 3.44-3.49, 3 Zn 3.61-3.64
Ac 0.2083 0.2500 0.7972  2 Zn 3.20, 4 Sn 3.41-3.55
Ac 0.2917 0.7500 0.2972  2 Zn 3.20, 4 Sn 3.41-3.55
Ac 0.3782 0.2500 0.0597  5 Sn 3.44-3.49, 3 Zn 3.61-3.64
Ac 0.4423 0.7500 0.6198  1 Zn 3.24, 4 Sn 3.41-3.53
Ac 0.5577 0.2500 0.3802  1 Zn 3.24, 4 Sn 3.41-3.53
Ac 0.6218 0.7500 0.9403  5 Sn 3.44-3.49, 3 Zn 3.61-3.64
Ac 0.7083 0.2500 0.7028  2 Zn 3.20, 4 Sn 3.41-3.55
Ac 0.7917 0.7500 0.2028  2 Zn 3.20, 4 Sn 3.41-3.55
Ac 0.8782 0.2500 0.4403  5 Sn 3.44-3.49, 3 Zn 3.61-3.64
Ac 0.9423 0.7500 0.8802  1 Zn 3.24, 4 Sn 3.41-3.53
Zn 0.1397 0.2500 0.3531  3 Sn 2.87, 2 Ac 3.20
Zn 0.3603 0.7500 0.8531  3 Sn 2.87, 2 Ac 3.20
Zn 0.6397 0.2500 0.1469  3 Sn 2.87, 2 Ac 3.20
Zn 0.8603 0.7500 0.6469  3 Sn 2.87, 2 Ac 3.20
Sn 0.0240 0.7500 0.3159  2 Zn 2.87
Sn 0.1960 0.7500 0.9964  1 Zn 2.87
Sn 0.3040 0.2500 0.4964  1 Zn 2.87
Sn 0.4760 0.2500 0.8159  2 Zn 2.87
Sn 0.5240 0.7500 0.1841  2 Zn 2.87
Sn 0.6960 0.7500 0.5036  1 Zn 2.87
Sn 0.8040 0.2500 0.0036  1 Zn 2.87
Sn 0.9760 0.2500 0.6841  2 Zn 2.87



x | Ac3ZnSn2 | PBE-GGA | optimized geometry

Computed properties:
Calculated density ... 8.20 g/cm3

a = 9.3103 Å, b = 9.3103 Å, c = 6.9286 Å
α = 102.73°, β = 102.73°, γ = 43.10°
Closest atoms and distances in Å follow each position.
Atoms (fractional coordinates):
Ac 0.1729 0.8271 0.7500  4 Zn 3.34-3.64, 4 Sn 3.41-3.44
Ac 0.2187 0.4329 0.3804  1 Zn 3.37, 5 Sn 3.38-3.66, 2 Ac 3.76
Ac 0.4329 0.2187 0.8804  1 Zn 3.37, 5 Sn 3.38-3.66, 2 Ac 3.76
Ac 0.5671 0.7813 0.1196  1 Zn 3.37, 5 Sn 3.38-3.66, 2 Ac 3.76
Ac 0.7813 0.5671 0.6196  1 Zn 3.37, 5 Sn 3.38-3.66, 2 Ac 3.76
Ac 0.8271 0.1729 0.2500  4 Zn 3.34-3.64, 4 Sn 3.41-3.44
Zn 0.3385 0.6615 0.2500  2 Sn 3.32, 6 Ac 3.34-3.64
Zn 0.6615 0.3385 0.7500  2 Sn 3.32, 6 Ac 3.34-3.64
Sn 0.0539 0.2531 0.0267  1 Zn 3.32, 7 Ac 3.38-3.66
Sn 0.2531 0.0539 0.5267  1 Zn 3.32, 7 Ac 3.38-3.66
Sn 0.7469 0.9461 0.4733  1 Zn 3.32, 7 Ac 3.38-3.66
Sn 0.9461 0.7469 0.9733  1 Zn 3.32, 7 Ac 3.38-3.66



Top of the stability list: w, leading by 149 meV/atom.